Rb2LaSiBr | PBE | relaxed

Unit cell a=7.2710 b=7.2710 c=5.6066 alpha=90.00 beta=90.00 gamma=90.00
Sites, in units of the cell vectors:
Rb  0.0000  0.5000  0.0000
Rb  0.5000  0.0000  0.0000
La  0.0000  0.0000  0.0000
Si  0.5000  0.5000  0.5000
Br  0.0000  0.0000  0.5000

Values from the calculation:
DOS(E_F) = 5.75 states/eV/f.u.
Uncorrected formation energy = 0.56 eV/atom
SG = No. 123